[1]
ScBeBr: optimized geometry, PBE-GGA.

The formation energy from raw total energies comes out at 1.17 eV/f.u. For the energy above the most stable polymorph in this dataset, the calculation gives 522 meV per atom. For the density of states at the Fermi level, the calculation gives 12.1 states/eV per cell. For the calculated volume, the calculation gives 275.58 Å³/cell. As for the energy: -3.519 eV per atom.

It has space group F-43m (No. 216), with a = 6.5075 Å, b = 6.5075 Å, c = 6.5075 Å, α = 90.00°, β = 90.00° and γ = 90.00°. The asymmetric unit holds Sc at (0.0000, 0.0000, 0.0000), Be at (0.2500, 0.2500, 0.2500) and Br at (0.2500, 0.2500, 0.7500).

---

[2]
CrReIr2: optimized geometry, PBE-GGA.

The calculation puts the energy of formation at -0.26 eV per atom. For the energy above the most stable polymorph in this dataset, the calculation gives 0 meV per atom. For the density of states at the Fermi level, the calculation gives 2.8 states/eV per cell. For the calculated volume, the calculation gives 55.77 Å³/cell. As for the energy: -10.207 eV per atom.

It has space group Pmm2 (No. 25), with a = 2.7177 Å, b = 4.3170 Å, c = 4.7533 Å, α = 90.00°, β = 90.00° and γ = 90.00°. The asymmetric unit holds Cr at (0.0000, 0.0000, 0.0000), Re at (0.0000, 0.5000, 0.3240), Ir at (0.5000, 0.0000, 0.4927) and Ir at (0.5000, 0.5000, 0.8405).

---

[3]
Tb2PmHo2Er: optimized geometry, PBE-GGA.

The calculation puts the energy of formation at 0.07 eV per atom. For the density of states at the Fermi level, the calculation gives 19.3 states/eV per cell. For the calculated volume, the calculation gives 378.90 Å³/cell. As for the energy: -4.553 eV per atom.

It has space group Pnnm (No. 58), with a = 6.9407 Å, b = 9.7441 Å, c = 5.6025 Å, α = 90.00°, β = 90.00° and γ = 90.00°. The asymmetric unit holds Tb at (0.2484, 0.1667, 0.0000), Pm at (0.0000, 0.5000, 0.0000), Ho at (0.2493, 0.8335, 0.0000) and Er at (0.0000, 0.0000, 0.5000).

---

[4]
CoRu2N: optimized geometry, PBE-GGA.

The formation energy from raw total energies comes out at 2.57 eV/f.u. For the density of states at the Fermi level, the calculation gives 6.7 states/eV per cell. For the calculated volume, the calculation gives 229.96 Å³/cell. As for the energy: -7.854 eV per atom.

It has space group I-42d (No. 122), with a = 5.0413 Å, b = 5.0413 Å, c = 9.0481 Å, α = 90.00°, β = 90.00° and γ = 90.00°. The asymmetric unit holds Co at (0.0000, 0.0000, 0.0000), Ru at (0.1819, 0.2500, 0.6250) and N at (0.0000, 0.0000, 0.5000).

---

[5]
Cu2SbMo: optimized geometry, PBE-GGA.

The formation energy from raw total energies comes out at 1.49 eV/f.u. For the density of states at the Fermi level, the calculation gives 3.4 states/eV per cell. For the calculated volume, the calculation gives 64.47 Å³/cell. As for the energy: -5.414 eV per atom.

It has space group P2/m (No. 10), with a = 2.9094 Å, b = 4.3031 Å, c = 5.1658 Å, α = 90.00°, β = 94.59° and γ = 90.00°. The asymmetric unit holds Cu at (0.0107, 0.0000, 0.2760), Sb at (0.0000, 0.5000, 0.0000) and Mo at (0.5000, 0.5000, 0.5000).

---

[6]
Cs4Pr3ErS8: optimized geometry, PBE-GGA.

The formation energy from raw total energies comes out at -28.86 eV/f.u. For the density of states at the Fermi level, the calculation gives 0.0 states/eV per cell. For the calculated volume, the calculation gives 1507.64 Å³/cell. As for the energy: -5.262 eV per atom.

It has space group R-3m (No. 166, hexagonal axes), with a = 8.4645 Å, b = 8.4645 Å, c = 24.2985 Å, α = 90.00°, β = 90.00° and γ = 120.00°. The asymmetric unit holds Cs at (0.0000, 0.0000, 0.0000), Cs at (0.0000, 0.5000, 0.0000), Pr at (0.0000, 0.5000, 0.5000), Er at (0.0000, 0.0000, 0.5000), S at (0.0000, 0.0000, 0.2297) and S at (0.0110, 0.5055, 0.2282).

---

[7]
BaNiIrAu2: optimized geometry, PBE-GGA.

The calculation puts the energy of formation at 2.07 eV per atom. For the density of states at the Fermi level, the calculation gives 5.0 states/eV per cell. For the calculated volume, the calculation gives 160.12 Å³/cell. As for the energy: -2.557 eV per atom.

It has space group P4/mmm (No. 123), with a = 5.7123 Å, b = 5.7123 Å, c = 4.9073 Å, α = 90.00°, β = 90.00° and γ = 90.00°. The asymmetric unit holds Ba at (0.0000, 0.0000, 0.0000), Ni at (0.0000, 0.0000, 0.5000), Ir at (0.5000, 0.5000, 0.5000) and Au at (0.0000, 0.5000, 0.0000).

---

[8]
ZrTa3Ir: optimized geometry, PBE-GGA.

The calculation puts the energy of formation at 2.14 eV per atom. For the energy above the most stable polymorph in this dataset, the calculation gives 1286 meV per atom. For the density of states at the Fermi level, the calculation gives 8.4 states/eV per cell. For the calculated volume, the calculation gives 109.11 Å³/cell. As for the energy: -8.450 eV per atom.

It has space group Pm-3m (No. 221), with a = 4.7784 Å, b = 4.7784 Å, c = 4.7784 Å, α = 90.00°, β = 90.00° and γ = 90.00°. The asymmetric unit holds Zr at (0.0000, 0.0000, 0.0000), Ta at (0.0000, 0.0000, 0.5000) and Ir at (0.5000, 0.5000, 0.5000).

---

[9]
TlHgBOs2: optimized geometry, PBE-GGA.

The calculation puts the energy of formation at 3.25 eV per atom. For the density of states at the Fermi level, the calculation gives 6.1 states/eV per cell. For the calculated volume, the calculation gives 147.38 Å³/cell. As for the energy: -3.110 eV per atom.

It has space group P4/mmm (No. 123), with a = 5.1072 Å, b = 5.1072 Å, c = 5.6501 Å, α = 90.00°, β = 90.00° and γ = 90.00°. The asymmetric unit holds Tl at (0.0000, 0.0000, 0.0000), Hg at (0.0000, 0.0000, 0.5000), B at (0.5000, 0.5000, 0.0000) and Os at (0.0000, 0.5000, 0.5000).

---

[10]
Ag3SnBr: optimized geometry, PBE-GGA.

The formation energy from raw total energies comes out at 3.17 eV/f.u. For the energy above the most stable polymorph in this dataset, the calculation gives 155 meV per atom. For the density of states at the Fermi level, the calculation gives 2.8 states/eV per cell. For the calculated volume, the calculation gives 141.19 Å³/cell. As for the energy: -2.211 eV per atom.

It has space group Pm-3m (No. 221), with a = 5.2072 Å, b = 5.2072 Å, c = 5.2072 Å, α = 90.00°, β = 90.00° and γ = 90.00°. The asymmetric unit holds Ag at (0.0000, 0.0000, 0.5000), Sn at (0.5000, 0.5000, 0.5000) and Br at (0.0000, 0.0000, 0.0000).

---

[11]
SbRhW2: optimized geometry, PBE-GGA.

The formation energy from raw total energies comes out at 1.17 eV/f.u. For the density of states at the Fermi level, the calculation gives 2.8 states/eV per cell. For the calculated volume, the calculation gives 67.14 Å³/cell. As for the energy: -9.053 eV per atom.

It has space group P2/m (No. 10), with a = 4.5179 Å, b = 3.0794 Å, c = 4.9746 Å, α = 90.00°, β = 104.04° and γ = 90.00°. The asymmetric unit holds Sb at (0.0000, 0.0000, 0.0000), Rh at (0.5000, 0.5000, 0.0000), W at (0.0000, 0.5000, 0.5000) and W at (0.5000, 0.0000, 0.5000).

---

[12]
AlCrH3: optimized geometry, PBE-GGA.

For the energy above the most stable polymorph in this dataset, the calculation gives 86 meV per atom. For the density of states at the Fermi level, the calculation gives 3.0 states/eV per cell. For the calculated volume, the calculation gives 162.09 Å³/cell. As for the energy: -4.605 eV per atom.

It has space group Cmcm (No. 63), with a = 2.9203 Å, b = 13.0434 Å, c = 4.2553 Å, α = 90.00°, β = 90.00° and γ = 90.00°. The asymmetric unit holds Al at (0.0000, 0.0947, 0.2500), Cr at (0.0000, 0.4212, 0.2500), H at (0.0000, 0.1439, 0.7500) and H at (0.0000, 0.3230, 0.0019).

---

[13]
Nd8SmTl5: optimized geometry, PBE-GGA.

The calculation puts the energy of formation at -0.18 eV per atom. For the density of states at the Fermi level, the calculation gives 30.5 states/eV per cell. For the calculated volume, the calculation gives 911.26 Å³/cell. As for the energy: -4.085 eV per atom.

It has space group I-4 (No. 82), with a = 9.7594 Å, b = 9.7594 Å, c = 9.5674 Å, α = 90.00°, β = 90.00° and γ = 90.00°. The asymmetric unit holds Nd at (0.0707, 0.1597, 0.2010), Nd at (0.0800, 0.3162, 0.5600), Sm at (0.0000, 0.5000, 0.2500), Tl at (0.0000, 0.0000, 0.5000) and Tl at (0.1304, 0.2567, 0.8855).

---

[14]
CoSnGe: optimized geometry, PBE-GGA.

The calculation puts the energy of formation at -0.02 eV per atom. For the density of states at the Fermi level, the calculation gives 8.4 states/eV per cell. For the calculated volume, the calculation gives 211.55 Å³/cell. As for the energy: -5.260 eV per atom.

It has space group Cmmm (No. 65), with a = 6.2451 Å, b = 11.4173 Å, c = 2.9669 Å, α = 90.00°, β = 90.00° and γ = 90.00°. The asymmetric unit holds Co at (0.2186, 0.0000, 0.0000), Sn at (0.0000, 0.3647, 0.5000) and Ge at (0.0000, 0.1251, 0.5000).

---

[15]
KPr2Tm: optimized geometry, PBE-GGA.

The calculation puts the energy of formation at 0.19 eV per atom. For the density of states at the Fermi level, the calculation gives 14.3 states/eV per cell. For the calculated volume, the calculation gives 468.44 Å³/cell. As for the energy: -3.597 eV per atom.

It has space group R-3m (No. 166, hexagonal axes), with a = 3.6611 Å, b = 3.6611 Å, c = 40.3541 Å, α = 90.00°, β = 90.00° and γ = 120.00°. The asymmetric unit holds K at (0.0000, 0.0000, 0.0000), Pr at (0.0000, 0.0000, 0.0962) and Tm at (0.0000, 0.0000, 0.5000).

---

[16]
Mg3VSi: optimized geometry, PBE-GGA.

The formation energy from raw total energies comes out at 5.82 eV/f.u. For the energy above the most stable polymorph in this dataset, the calculation gives 436 meV per atom. For the density of states at the Fermi level, the calculation gives 3.6 states/eV per cell. For the calculated volume, the calculation gives 135.40 Å³/cell. As for the energy: -2.701 eV per atom.

It has space group Pm-3m (No. 221), with a = 5.1350 Å, b = 5.1350 Å, c = 5.1350 Å, α = 90.00°, β = 90.00° and γ = 90.00°. The asymmetric unit holds Mg at (0.0000, 0.0000, 0.5000), V at (0.0000, 0.0000, 0.0000) and Si at (0.5000, 0.5000, 0.5000).

---

[17]
La2Zn2Pd15: optimized geometry, PBE-GGA.

The calculation puts the energy of formation at -0.41 eV per atom. For the density of states at the Fermi level, the calculation gives 54.6 states/eV per cell. For the calculated volume, the calculation gives 1000.91 Å³/cell. As for the energy: -5.167 eV per atom.

It has space group R-3m (No. 166, hexagonal axes), with a = 9.1564 Å, b = 9.1564 Å, c = 13.7853 Å, α = 90.00°, β = 90.00° and γ = 120.00°. The asymmetric unit holds La at (0.0000, 0.0000, 0.1573), Zn at (0.0000, 0.0000, 0.4060), Pd at (0.0000, 0.3009, 0.5000), Pd at (0.0000, 0.5000, 0.0000) and Pd at (0.0002, 0.5001, 0.3466).

---

[18]
NaLaSi4: optimized geometry, PBE-GGA.

The formation energy from raw total energies comes out at -1.26 eV/f.u. For the energy above the most stable polymorph in this dataset, the calculation gives 18 meV per atom. For the calculated volume, the calculation gives 452.34 Å³/cell. As for the energy: -4.866 eV per atom.

It has space group F-43m (No. 216), with a = 7.6763 Å, b = 7.6763 Å, c = 7.6763 Å, α = 90.00°, β = 90.00° and γ = 90.00°. The asymmetric unit holds Na at (0.0000, 0.0000, 0.0000), La at (0.2500, 0.2500, 0.2500) and Si at (0.1291, 0.1291, 0.6291).

---

[19]
BeNb3B7: optimized geometry, PBE-GGA.

The calculation puts the energy of formation at -0.52 eV per atom. For the density of states at the Fermi level, the calculation gives 14.2 states/eV per cell. For the calculated volume, the calculation gives 400.64 Å³/cell. As for the energy: -7.857 eV per atom.

It has space group Cmcm (No. 63), with a = 3.1846 Å, b = 14.3449 Å, c = 8.7700 Å, α = 90.00°, β = 90.00° and γ = 90.00°. The asymmetric unit holds Be at (0.0000, 0.0449, 0.2500), Nb at (0.0000, 0.1072, 0.5535), Nb at (0.0000, 0.2464, 0.2500), B at (0.0000, 0.2729, 0.5320), B at (0.0000, 0.3691, 0.6525), B at (0.0000, 0.4361, 0.2500) and B at (0.0000, 0.4845, 0.5942).

---

[20]
LaOs2: optimized geometry, PBE-GGA.

The calculation puts the energy of formation at 0.81 eV per atom. For the density of states at the Fermi level, the calculation gives 7.9 states/eV per cell. For the calculated volume, the calculation gives 117.64 Å³/cell. As for the energy: -8.321 eV per atom.

It has space group Pnnm (No. 58), with a = 2.8902 Å, b = 7.9633 Å, c = 5.1113 Å, α = 90.00°, β = 90.00° and γ = 90.00°. The asymmetric unit holds La at (0.0000, 0.0000, 0.0000) and Os at (0.2242, 0.3629, 0.0000).

---

[21]
As2SeI: optimized geometry, PBE-GGA.

The formation energy from raw total energies comes out at 1.61 eV/f.u. For the energy above the most stable polymorph in this dataset, the calculation gives 0 meV per atom. For the density of states at the Fermi level, the calculation gives 13.3 states/eV per cell. For the calculated volume, the calculation gives 456.11 Å³/cell. As for the energy: -3.181 eV per atom.

It has space group I-42d (No. 122), with a = 7.4363 Å, b = 7.4363 Å, c = 8.2482 Å, α = 90.00°, β = 90.00° and γ = 90.00°. The asymmetric unit holds As at (0.2082, 0.2500, 0.1250), Se at (0.0000, 0.0000, 0.0000) and I at (0.0000, 0.0000, 0.5000).

---

[22]
IrC3: optimized geometry, PBE-GGA.

The calculation puts the energy of formation at 2.94 eV per atom. For the energy above the most stable polymorph in this dataset, the calculation gives 2227 meV per atom. For the density of states at the Fermi level, the calculation gives 4.7 states/eV per cell. For the calculated volume, the calculation gives 140.62 Å³/cell. As for the energy: -6.190 eV per atom.

It has space group Fm-3m (No. 225), with a = 5.2001 Å, b = 5.2001 Å, c = 5.2001 Å, α = 90.00°, β = 90.00° and γ = 90.00°. The asymmetric unit holds Ir at (0.0000, 0.0000, 0.0000), C at (0.0000, 0.0000, 0.5000) and C at (0.2500, 0.2500, 0.2500).

---

[23]
K4PaNb3O12: optimized geometry, PBE-GGA.

The formation energy from raw total energies comes out at -51.73 eV/f.u. For the density of states at the Fermi level, the calculation gives 0.0 states/eV per cell. For the calculated volume, the calculation gives 568.85 Å³/cell. As for the energy: -7.766 eV per atom.

It has space group Im-3m (No. 229), with a = 8.2858 Å, b = 8.2858 Å, c = 8.2858 Å, α = 90.00°, β = 90.00° and γ = 90.00°. The asymmetric unit holds K at (0.2500, 0.2500, 0.2500), Pa at (0.0000, 0.0000, 0.0000), Nb at (0.0000, 0.0000, 0.5000), O at (0.0000, 0.0000, 0.2603) and O at (0.0000, 0.2500, 0.5000).

---

[24]
Tb2PrGa: optimized geometry, PBE-GGA.

The calculation puts the energy of formation at -0.04 eV per atom. For the energy above the most stable polymorph in this dataset, the calculation gives 240 meV per atom. For the density of states at the Fermi level, the calculation gives 15.7 states/eV per cell. For the calculated volume, the calculation gives 367.84 Å³/cell. As for the energy: -4.308 eV per atom.

It has space group R-3m (No. 166, hexagonal axes), with a = 3.5333 Å, b = 3.5333 Å, c = 34.0224 Å, α = 90.00°, β = 90.00° and γ = 120.00°. The asymmetric unit holds Tb at (0.0000, 0.0000, 0.1030), Pr at (0.0000, 0.0000, 0.0000) and Ga at (0.0000, 0.0000, 0.5000).